1.
The following is a GGA-PBE calculation of a geometry-optimized Sn3Pd5 structure, from Alexandria via LeMat-Bulk.

a b c (Å): 5.6928 5.6928 4.4055
angles (deg): 90.00 90.00 99.31
Atoms (fractional coordinates):
Sn1 0.0000 0.0000 0.0000
Sn2 0.2976 0.7024 0.5000
Sn3 0.7024 0.2976 0.5000
Pd1 0.0000 0.5000 0.0000
Pd2 0.2040 0.2040 0.5000
Pd3 0.5000 0.0000 0.0000
Pd4 0.5000 0.5000 0.0000
Pd5 0.7960 0.7960 0.5000

Properties
- Density: 10.47 g/cm³
- Formation enthalpy at 0 K: -3.863 eV per formula unit

2.
The following is a GGA-PBE calculation of a geometry-optimized Sn2Pd structure, from Alexandria via LeMat-Bulk.

a b c (Å): 13.2512 13.2512 13.2512
angles (deg): 151.23 151.23 41.13
Atoms (fractional coordinates):
Sn1 0.0026 0.7500 0.7526
Sn2 0.0335 0.7835 0.5670
Sn3 0.2165 0.2835 0.2500
Sn4 0.2500 0.0026 0.7526
Sn5 0.2500 0.5026 0.2526
Sn6 0.2835 0.5335 0.0670
Sn7 0.4665 0.0335 0.7500
Sn8 0.4974 0.2500 0.7474
Sn9 0.5026 0.7500 0.2526
Sn10 0.5335 0.9665 0.2500
Sn11 0.7165 0.4665 0.9330
Sn12 0.7500 0.4974 0.7474
Sn13 0.7500 0.9974 0.2474
Sn14 0.7835 0.7165 0.7500
Sn15 0.9665 0.2165 0.4330
Sn16 0.9974 0.2500 0.2474
Pd1 0.0666 0.8166 0.2500
Pd2 0.1834 0.9334 0.2500
Pd3 0.3166 0.5666 0.7500
Pd4 0.4334 0.6834 0.7500
Pd5 0.5666 0.3166 0.2500
Pd6 0.6834 0.4334 0.2500
Pd7 0.8166 0.0666 0.7500
Pd8 0.9334 0.1834 0.7500

Properties
- Density: 8.50 g/cm³
- Formation enthalpy at 0 K: -1.167 eV per formula unit

3.
The following is a GGA-PBE calculation of a geometry-optimized Sn2Pd structure, from Alexandria via LeMat-Bulk.

a b c (Å): 3.5104 3.5104 12.6047
angles (deg): 90.00 90.00 120.00
Atoms (fractional coordinates):
Sn1 0.3333 0.6667 0.1000
Sn2 0.3333 0.6667 0.4000
Sn3 0.6667 0.3333 0.6000
Sn4 0.6667 0.3333 0.9000
Pd1 0.0000 0.0000 0.2500
Pd2 0.0000 0.0000 0.7500

Properties
- Density: 8.49 g/cm³
- Formation enthalpy at 0 K: -0.796 eV per formula unit

4.
The following is a GGA-PBE calculation of a geometry-optimized SnPd2 structure, from Alexandria via LeMat-Bulk.

a b c (Å): 4.5662 4.5662 5.7137
angles (deg): 90.00 90.00 120.00
Atoms (fractional coordinates):
Sn1 0.3333 0.6667 0.2500
Sn2 0.6667 0.3333 0.7500
Pd1 0.0000 0.0000 0.0000
Pd2 0.0000 0.0000 0.5000
Pd3 0.3333 0.6667 0.7500
Pd4 0.6667 0.3333 0.2500

Properties
- Density: 10.67 g/cm³
- Formation enthalpy at 0 K: -1.555 eV per formula unit

5.
The following is a GGA-PBE calculation of a geometry-optimized Sn7Pd5 structure, from Alexandria via LeMat-Bulk.

a b c (Å): 6.9724 6.9724 9.7464
angles (deg): 110.48 110.48 36.65
Atoms (fractional coordinates):
Sn1 0.0000 0.0000 0.0000
Sn2 0.0484 0.4414 0.1186
Sn3 0.0491 0.4073 0.6178
Sn4 0.3164 0.6700 0.6749
Sn5 0.3300 0.6836 0.3251
Sn6 0.5586 0.9516 0.8814
Sn7 0.5927 0.9509 0.3822
Pd1 0.6922 0.0746 0.1809
Pd2 0.6945 0.0474 0.6956
Pd3 0.8297 0.1703 0.5000
Pd4 0.9254 0.3078 0.8191
Pd5 0.9526 0.3055 0.3044

Properties
- Density: 8.61 g/cm³
- Formation enthalpy at 0 K: -5.022 eV per formula unit

6.
The following is a GGA-PBE calculation of a geometry-optimized Sr4SnPd3 structure, from Alexandria via LeMat-Bulk.

a b c (Å): 4.4382 4.7141 11.4996
angles (deg): 90.00 90.00 90.00
Atoms (fractional coordinates):
Sr1 0.0000 0.0000 0.0000
Sr2 0.0000 0.5000 0.2625
Sr3 0.5000 0.0000 0.4737
Sr4 0.5000 0.5000 0.7773
Sn1 0.0000 0.0000 0.6880
Pd1 0.0000 0.5000 0.5696
Pd2 0.5000 0.0000 0.1995
Pd3 0.5000 0.5000 0.0619

Properties
- Density: 5.44 g/cm³
- Formation enthalpy at 0 K: -4.760 eV per formula unit

7.
The following is a GGA-PBE calculation of a geometry-optimized SrSn12Pd6 structure, from Alexandria via LeMat-Bulk.

a b c (Å): 8.1432 8.1432 8.1432
angles (deg): 106.40 106.40 106.40
Atoms (fractional coordinates):
Sr1 0.0000 0.0000 0.0000
Sn1 0.1216 0.5000 0.8784
Sn2 0.1216 0.8784 0.5000
Sn3 0.1418 0.4024 0.4024
Sn4 0.4024 0.1418 0.4024
Sn5 0.4024 0.4024 0.1418
Sn6 0.5000 0.1216 0.8784
Sn7 0.5000 0.8784 0.1216
Sn8 0.5976 0.5976 0.8582
Sn9 0.5976 0.8582 0.5976
Sn10 0.8582 0.5976 0.5976
Sn11 0.8784 0.1216 0.5000
Sn12 0.8784 0.5000 0.1216
Pd1 0.2806 0.2806 0.7041
Pd2 0.2806 0.7041 0.2806
Pd3 0.2959 0.7194 0.7194
Pd4 0.7041 0.2806 0.2806
Pd5 0.7194 0.2959 0.7194
Pd6 0.7194 0.7194 0.2959

Properties
- Density: 7.82 g/cm³
- Formation enthalpy at 0 K: -6.177 eV per formula unit

8.
The following is a GGA-PBE calculation of a geometry-optimized SrSn4Pd structure, from Alexandria via LeMat-Bulk.

a b c (Å): 6.5674 6.7513 8.5074
angles (deg): 108.91 103.25 102.78
Atoms (fractional coordinates):
Sr1 0.0217 0.0258 0.2567
Sr2 0.9783 0.9742 0.7433
Sn1 0.1441 0.4676 0.6755
Sn2 0.3485 0.3991 0.1527
Sn3 0.3583 0.8506 0.5568
Sn4 0.3924 0.8232 0.0660
Sn5 0.6076 0.1768 0.9340
Sn6 0.6417 0.1494 0.4432
Sn7 0.6515 0.6009 0.8473
Sn8 0.8559 0.5324 0.3245
Pd1 0.0000 0.5000 0.0000
Pd2 0.5000 0.5000 0.5000

Properties
- Density: 6.75 g/cm³
- Formation enthalpy at 0 K: -2.137 eV per formula unit